The following is a DFT calculation (GGA-PBE) of an optimized crystal structure of Tl2RuPt.

abc: 8.8322 8.8322 8.8322
angles: 21.01 21.01 21.01
Last column: nearest neighbours and their distance in Å.
Atoms (fractional coordinates):
1 Pt 0.2500 0.2500 0.2500  6 Tl 2.88, 6 Pt 3.22
2 Ru 0.7500 0.7500 0.7500  6 Tl 2.82
3 Tl 0.0016 0.0016 0.0016  3 Ru 2.82, 3 Pt 2.88
4 Tl 0.4984 0.4984 0.4984  3 Ru 2.82, 3 Pt 2.88

M_tot: 0.57 μB/cell
calculated total energy: -4.582 eV/atom
N(E_F): 2.968 states/eV/f.u.
distance to the lowest polymorph of the same formula: 99 meV per atom
space-group type: R-3m
calculated formation energy: 9.91 kcal/mol of atoms
crystal system: trigonal